Na3Ag2MoO6 | GGA+U | optimized geometry

Properties
As for the total energy: -5.021 eV/atom. Its symmetry is C2/m (12).

Lattice parameters (Å, degrees): 5.7558 5.7558 5.9349 104.04 104.04 113.81
Last column: nearest neighbours and their distance in Å.
Fractional positions:
1 Na 0.8284 0.1716 0.5000  6 O 2.40-2.58
2 Na 0.1716 0.8284 0.5000  6 O 2.40-2.58
3 Na 0.5000 0.5000 0.5000  4 O 2.30
4 O 0.0549 0.3384 0.2368  1 Mo 1.96
5 O 0.9451 0.6616 0.7632  1 Mo 1.96
6 O 0.6616 0.9451 0.7632  1 Mo 1.96
7 O 0.2089 0.2089 0.8257  1 Mo 2.00
8 O 0.3384 0.0549 0.2368  1 Mo 1.96
9 O 0.7911 0.7911 0.1743  1 Mo 2.00
10 Ag 0.6660 0.3340 0.0000  4 O 2.30-2.32
11 Ag 0.3340 0.6660 0.0000  4 O 2.30-2.32
12 Mo 0.0000 0.0000 0.0000  6 O 1.96-2.00